# LiPdF

LiPdF after structural relaxation (PBE, the Alexandria database).

POSCAR file:
```
LiPdF
1.0
8.348 0.000 0.000
0.000 2.874 0.000
0.000 0.000 6.990
Li Pd F
4 4 4
Direct
0.034 0.250 0.161
0.466 0.750 0.661
0.534 0.250 0.339
0.966 0.750 0.839
0.125 0.750 0.505
0.375 0.250 0.005
0.625 0.750 0.995
0.875 0.250 0.495
0.138 0.750 0.029
0.362 0.250 0.529
0.638 0.750 0.471
0.862 0.250 0.971
```

density of states at the Fermi level	0.000	states/eV per atom
spin magnetization	0.0	μB/cell
electronic total energy	-4.366	eV per atom

***

# LiPdF2

LiPdF2 after structural relaxation (PBE, the Alexandria database).

POSCAR file:
```
LiPdF2
1.0
1.565 0.904 6.827
-1.565 0.904 6.827
0.000 -1.807 6.827
Li Pd F
1 1 2
Direct
0.000 0.000 0.000
0.500 0.500 0.500
0.083 0.083 0.083
0.917 0.917 0.917
```

density of states at the Fermi level	1.493	states/eV per atom
spin magnetization	1.0	μB/cell
electronic total energy	-4.006	eV per atom

***

# LiPdF

LiPdF after structural relaxation (PBE, the Alexandria database).

POSCAR file:
```
LiPdF
1.0
2.447 -1.414 0.000
2.447 1.414 0.000
-0.016 0.000 10.160
Li Pd F
2 2 2
Direct
0.000 0.000 0.000
0.667 0.667 0.240
0.330 0.330 0.476
0.665 0.665 0.700
0.333 0.333 0.154
0.666 0.666 0.920
```

density of states at the Fermi level	0.325	states/eV per atom
spin magnetization	0.7	μB/cell
electronic total energy	-4.689	eV per atom

***

# Li2PdF4

Li2PdF4 after structural relaxation (PBE, the Alexandria database).

POSCAR file:
```
Li2PdF4
1.0
-2.797 2.797 5.576
2.797 -2.797 5.576
2.797 2.797 -5.576
Li Pd F
4 2 8
Direct
0.000 0.000 0.000
0.000 0.000 0.500
0.000 0.500 0.000
0.500 0.000 0.500
0.375 0.625 0.750
0.625 0.375 0.250
0.120 0.370 0.239
0.120 0.880 0.750
0.370 0.120 0.739
0.370 0.630 0.250
0.630 0.370 0.750
0.630 0.880 0.261
0.880 0.120 0.250
0.880 0.630 0.761
```

spin magnetization	0.1	μB/cell
electronic total energy	-4.428	eV per atom

***

# LiPd2F

LiPd2F after structural relaxation (PBE, the Alexandria database).

POSCAR file:
```
LiPd2F
1.0
-1.781 1.781 10.245
1.781 -1.781 10.245
1.781 1.781 -10.245
Li Pd F
2 4 2
Direct
0.000 0.000 0.000
0.750 0.250 0.500
0.123 0.625 0.998
0.375 0.373 0.498
0.627 0.125 0.002
0.875 0.877 0.502
0.250 0.750 0.500
0.500 0.500 0.000
```

density of states at the Fermi level	1.123	states/eV per atom
spin magnetization	0.0	μB/cell
electronic total energy	-4.029	eV per atom

***

# Li2PdF

Li2PdF after structural relaxation (PBE, the Alexandria database).

POSCAR file:
```
Li2PdF
1.0
1.408 0.813 6.668
-1.408 0.813 6.668
0.000 -1.625 6.668
Li Pd F
2 1 1
Direct
0.226 0.226 0.226
0.774 0.774 0.774
0.000 0.000 0.000
0.500 0.500 0.500
```

density of states at the Fermi level	0.180	states/eV per atom
spin magnetization	0.0	μB/cell
electronic total energy	-4.368	eV per atom

***

# LiPd2F11

LiPd2F11 after structural relaxation (PBE, the Alexandria database).

POSCAR file:
```
LiPd2F11
1.0
-4.061 5.122 5.124
4.061 -5.122 5.124
4.061 5.122 -5.124
Li Pd F
2 4 22
Direct
0.250 0.250 0.000
0.750 0.750 0.000
0.084 0.724 0.808
0.416 0.224 0.640
0.584 0.776 0.360
0.916 0.276 0.192
0.000 0.500 0.500
0.061 0.515 0.844
0.096 0.938 0.773
0.165 0.323 0.227
0.167 0.931 0.098
0.170 0.015 0.453
0.330 0.783 0.844
0.333 0.431 0.765
0.335 0.562 0.158
0.404 0.177 0.842
0.439 0.283 0.453
0.500 0.000 0.500
0.561 0.717 0.547
0.596 0.823 0.158
0.665 0.438 0.842
0.667 0.569 0.235
0.670 0.217 0.156
0.830 0.985 0.547
0.833 0.069 0.902
0.835 0.677 0.773
0.904 0.062 0.227
0.939 0.485 0.156
```

density of states at the Fermi level	0.965	states/eV per atom
spin magnetization	4.3	μB/cell
electronic total energy	-3.610	eV per atom

***

# Li2Pd2F7

Li2Pd2F7 after structural relaxation (PBE, the Alexandria database).

POSCAR file:
```
Li2Pd2F7
1.0
3.375 -4.701 0.000
3.375 4.701 0.000
-2.272 0.000 5.086
Li Pd F
2 2 7
Direct
0.163 0.837 0.000
0.837 0.163 0.000
0.345 0.345 0.746
0.655 0.655 0.254
0.126 0.540 0.747
0.148 0.148 0.928
0.460 0.874 0.253
0.500 0.500 0.500
0.540 0.126 0.747
0.852 0.852 0.072
0.874 0.460 0.253
```

density of states at the Fermi level	0.560	states/eV per atom
spin magnetization	1.1	μB/cell
electronic total energy	-4.259	eV per atom